## i
Material: TbNd3Dy4
Method: DFT, PBE
State: optimized geometry

a = 3.4810 Å, b = 11.7114 Å, c = 13.0816 Å
α = 90.00°, β = 90.00°, γ = 90.00°
Space group Immm (No. 71)
Inequivalent atoms, fractional coordinates:
Tb 0.0000 0.0000 0.0000 (multiplicity 2)
Nd 0.0000 0.0000 0.5000 (multiplicity 2)
Nd 0.0000 0.5000 0.2574 (multiplicity 4)
Dy 0.0000 0.2463 0.1345 (multiplicity 8)

Values from the calculation:
Crystal system   orthorhombic
Density of states at the Fermi level   24.3 states/eV/cell

## ii
Material: TbNd3Dy4
Method: DFT, PBE
State: optimized geometry

a = 11.5288 Å, b = 7.3234 Å, c = 6.3117 Å
α = 90.00°, β = 90.00°, γ = 90.00°
Space group Pmn2_1 (No. 31)
Inequivalent atoms, fractional coordinates:
Tb 0.0000 0.1290 0.0000 (multiplicity 2)
Nd 0.0000 0.8730 0.5006 (multiplicity 2)
Nd 0.2501 0.1265 0.3351 (multiplicity 4)
Dy 0.0000 0.3782 0.5011 (multiplicity 2)
Dy 0.0000 0.6227 0.0010 (multiplicity 2)
Dy 0.2486 0.3777 0.8343 (multiplicity 4)

Values from the calculation:
Crystal system   orthorhombic
Density of states at the Fermi level   28.6 states/eV/cell

We find ii to be the most stable, with the next structure 0.105 eV/atom higher.

## i
Material: Tb2Nd3Dy8
Method: DFT, PBE
State: optimized geometry

a = 20.8322 Å, b = 5.0589 Å, c = 8.0019 Å
α = 90.00°, β = 94.38°, γ = 90.00°
Space group C2/m (No. 12)
Inequivalent atoms, fractional coordinates:
Tb 0.2311 0.0000 0.3461 (multiplicity 4)
Nd 0.0000 0.0000 0.5000 (multiplicity 2)
Nd 0.0388 0.5000 0.8069 (multiplicity 4)
Dy 0.0785 0.0000 0.1141 (multiplicity 4)
Dy 0.1169 0.5000 0.4210 (multiplicity 4)
Dy 0.1558 0.0000 0.7308 (multiplicity 4)
Dy 0.1930 0.5000 0.0392 (multiplicity 4)

Values from the calculation:
Crystal system   monoclinic
Density of states at the Fermi level   38.0 states/eV/cell

## ii
Material: Tb2Nd3Dy8
Method: DFT, PBE
State: optimized geometry

a = 20.1717 Å, b = 7.7093 Å, c = 5.6524 Å
α = 90.00°, β = 90.02°, γ = 90.00°
Space group C2/m (No. 12)
Inequivalent atoms, fractional coordinates:
Tb 0.2415 0.0000 0.4995 (multiplicity 4)
Nd 0.0000 0.0000 0.5000 (multiplicity 2)
Nd 0.0000 0.2920 0.0000 (multiplicity 4)
Dy 0.1089 0.2909 0.5001 (multiplicity 8)
Dy 0.1350 0.0000 0.9998 (multiplicity 4)
Dy 0.1712 0.5000 0.0004 (multiplicity 4)

Values from the calculation:
Crystal system   monoclinic
Density of states at the Fermi level   44.7 states/eV/cell

We find i to be the most stable, with the next structure 0.226 eV/atom higher.

## i
Material: Tb2Nd6Dy3
Method: DFT, PBE
State: optimized geometry

a = 3.6233 Å, b = 3.6233 Å, c = 97.1578 Å
α = 90.00°, β = 90.00°, γ = 120.00°
Space group R-3m (No. 166, hexagonal axes)
Inequivalent atoms, fractional coordinates:
Tb 0.0000 0.0000 0.0460 (multiplicity 6)
Nd 0.0000 0.0000 0.1365 (multiplicity 6)
Nd 0.0000 0.0000 0.3177 (multiplicity 6)
Nd 0.0000 0.0000 0.4096 (multiplicity 6)
Dy 0.0000 0.0000 0.2269 (multiplicity 6)
Dy 0.0000 0.0000 0.5000 (multiplicity 3)

Values from the calculation:
Crystal system   trigonal
Density of states at the Fermi level   39.0 states/eV/cell

## ii
Material: Tb2Nd6Dy3
Method: DFT, PBE
State: optimized geometry

a = 4.7776 Å, b = 4.7776 Å, c = 33.9953 Å
α = 90.00°, β = 90.00°, γ = 90.00°
Space group I4/mmm (No. 139)
Inequivalent atoms, fractional coordinates:
Tb 0.0000 0.0000 0.0450 (multiplicity 4)
Nd 0.0000 0.0000 0.2039 (multiplicity 4)
Nd 0.0000 0.5000 0.1203 (multiplicity 8)
Dy 0.0000 0.0000 0.3047 (multiplicity 4)
Dy 0.0000 0.0000 0.5000 (multiplicity 2)

Values from the calculation:
Crystal system   tetragonal
Density of states at the Fermi level   32.5 states/eV/cell

We find i to be the most stable, with the next structure 0.278 eV/atom higher.

## i
Material: Tb3Nd5Dy3
Method: DFT, PBE
State: optimized geometry

a = 11.3075 Å, b = 11.3075 Å, c = 3.4604 Å
α = 90.00°, β = 90.00°, γ = 120.00°
Space group P-62m (No. 189)
Inequivalent atoms, fractional coordinates:
Tb 0.0000 0.4041 0.0000 (multiplicity 3)
Nd 0.0000 0.6611 0.5000 (multiplicity 3)
Nd 0.3333 0.6667 0.5000 (multiplicity 2)
Dy 0.0000 0.1594 0.5000 (multiplicity 3)

Values from the calculation:
Crystal system   hexagonal
Density of states at the Fermi level   16.4 states/eV/cell

## ii
Material: Tb3Nd5Dy3
Method: DFT, PBE
State: optimized geometry

a = 11.2514 Å, b = 11.2514 Å, c = 3.4813 Å
α = 90.00°, β = 90.00°, γ = 120.00°
Space group P-62m (No. 189)
Inequivalent atoms, fractional coordinates:
Tb 0.0000 0.4057 0.0000 (multiplicity 3)
Nd 0.0000 0.1620 0.5000 (multiplicity 3)
Nd 0.3333 0.6667 0.5000 (multiplicity 2)
Dy 0.0000 0.6580 0.5000 (multiplicity 3)

Values from the calculation:
Crystal system   hexagonal
Density of states at the Fermi level   18.9 states/eV/cell

We find i to be the most stable, with the next structure 0.020 eV/atom higher.